Compound: PmTm2Ag3Te6
Source: Alexandria via LeMat-Bulk
Functional: PBE
Structure: optimized geometry

```
PmTm2Ag3Te6
1.0
7.6399 -0.0030 0.0037
-3.8207 6.6160 0.0037
-1.2707 -2.2002 6.9963
Pm Tm Ag Te
1 2 3 6
Direct
0.0000 0.0000 0.0000
0.3329 0.6671 0.0000
0.6671 0.3329 0.0000
0.1635 0.8365 0.5000
0.8365 0.1635 0.5000
0.5000 0.5000 0.5000
0.9160 0.5732 0.7469
0.7417 0.7417 0.2552
0.0840 0.4268 0.2531
0.5732 0.9160 0.7469
0.2583 0.2583 0.7448
0.4268 0.0840 0.2531
```

The value obtained for the calculated density is 7.4 g/cm³. The total magnetization comes out at 0.00 μB per atom. Its uncorrected formation energy is -0.822 eV/atom.

---

Compound: Ca2PrAg
Source: Alexandria via LeMat-Bulk
Functional: PBE
Structure: optimized geometry

```
Ca2PrAg
1.0
3.6141 0.0000 0.0000
0.0000 3.6141 0.0000
0.0000 0.0000 9.8299
Pr Ca Ag
1 2 1
Direct
0.5000 0.5000 0.5000
0.0000 0.0000 0.8017
0.0000 0.0000 0.1983
0.5000 0.5000 0.0000
```

Its density of states at the Fermi level is 1.3082 states/eV/atom. The value obtained for the calculated density is 4.3 g/cm³. The total magnetization comes out at 0.00 μB per atom. The calculation puts the excess energy over the best structure of this formula in the dataset at 2 kJ/mol of formula units.

---

Compound: Sc3ReB7
Source: Alexandria via LeMat-Bulk
Functional: PBE
Structure: optimized geometry

```
Sc3ReB7
1.0
3.3647 0.0000 0.0000
-1.6823 7.4888 0.0000
0.0000 0.0000 9.0624
Sc Re B
6 2 14
Direct
0.1066 0.2132 0.4430
0.8934 0.7868 0.5570
0.2450 0.4901 0.7500
0.7550 0.5099 0.2500
0.1066 0.2132 0.0570
0.8934 0.7868 0.9430
0.9490 0.8980 0.2500
0.0510 0.1020 0.7500
0.4451 0.8901 0.7500
0.5549 0.1099 0.2500
0.4830 0.9661 0.4081
0.5170 0.0339 0.5919
0.5170 0.0339 0.9081
0.4830 0.9661 0.0919
0.3654 0.7308 0.3514
0.6346 0.2692 0.6486
0.2715 0.5431 0.4677
0.7285 0.4569 0.5323
0.7285 0.4569 0.9677
0.2715 0.5431 0.0323
0.3654 0.7308 0.1486
0.6346 0.2692 0.8514
```

Its density of states at the Fermi level is 0.2695 states/eV/atom. The value obtained for the calculated density is 5.8 g/cm³. The total magnetization comes out at 0.03 μB per atom. Its total energy is -7.849 eV per atom.

---

Compound: Nb2CuPt5Rh
Source: Alexandria via LeMat-Bulk
Functional: PBE
Structure: optimized geometry

```
Nb2CuPt5Rh
1.0
-4.8645 -0.7520 5.9700
-5.8773 -1.0519 -4.9214
6.2536 -4.3188 -0.4626
Nb Cu Pt Rh
4 2 10 2
Direct
0.1122 0.3878 0.0000
0.6122 0.1122 0.0000
0.3878 0.8878 0.0000
0.8878 0.6122 0.0000
0.2500 0.2500 0.5000
0.7500 0.7500 0.5000
0.9308 0.4308 0.2641
0.6667 0.1667 0.7359
0.0692 0.5692 0.7359
0.1667 0.0692 0.7359
0.5692 0.6667 0.7359
0.8333 0.9308 0.2641
0.4308 0.3333 0.2641
0.3333 0.8333 0.2641
0.5000 0.5000 0.0000
0.0000 0.0000 0.0000
0.2500 0.7500 0.5000
0.7500 0.2500 0.5000
```

Its density of states at the Fermi level is 0.8160 states/eV/atom. The value obtained for the calculated density is 13.9 g/cm³. The total magnetization comes out at 0.00 μB per atom. Its total energy is -6.707 eV per atom.

---

Compound: YHo8Sc3
Source: Alexandria via LeMat-Bulk
Functional: PBE
Structure: optimized geometry

```
YHo8Sc3
1.0
-3.7428 3.2146 3.3962
-4.6862 -7.7603 -1.3537
6.2613 1.4475 5.5481
Y Ho Sc
1 8 3
Direct
0.2947 0.6174 0.5806
0.5413 0.8704 0.0840
0.2074 0.8734 0.4170
0.9512 0.6179 0.9132
0.1267 0.1240 0.2521
0.8743 0.8694 0.7454
0.0421 0.3757 0.0841
0.4607 0.1305 0.9222
0.7911 0.1244 0.5823
0.3775 0.3729 0.7513
0.7067 0.3729 0.4164
0.6246 0.6209 0.2479
```

Its density of states at the Fermi level is 1.5415 states/eV/atom. The value obtained for the calculated density is 7.3 g/cm³. The total magnetization comes out at 0.00 μB per atom. Its total energy is -5.128 eV per atom.

---

Compound: Ti4MnPb
Source: Alexandria via LeMat-Bulk
Functional: PBE
Structure: optimized geometry

```
Ti4MnPb
1.0
3.0013 0.0000 0.0000
0.0001 6.5766 0.0080
0.0000 0.0191 6.5766
Ti Mn Pb
4 1 1
Direct
0.5000 0.2345 0.7656
0.0000 0.8024 0.8024
0.0000 0.1976 0.1976
0.5000 0.7655 0.2344
0.5000 0.0000 0.0000
0.0000 0.5000 0.5000
```

Its density of states at the Fermi level is 1.2073 states/eV/atom. The value obtained for the calculated density is 5.8 g/cm³. The total magnetization comes out at 0.11 μB per atom. Its total energy is -6.909 eV per atom.

---

Compound: LiAl3Co
Source: Alexandria via LeMat-Bulk
Functional: PBE
Structure: optimized geometry

```
LiAl3Co
1.0
5.8282 0.0000 -2.8385
0.0000 6.7578 0.0000
0.0542 0.0000 7.1294
Li Al Co
4 12 4
Direct
0.2567 0.4771 0.3610
0.7433 0.5229 0.6390
0.2433 0.9771 0.6390
0.7567 0.0229 0.3610
0.3215 0.0187 0.0362
0.6785 0.9813 0.9638
0.1785 0.5187 0.9638
0.8215 0.4813 0.0362
0.5975 0.3734 0.2689
0.4025 0.6266 0.7311
0.9025 0.8734 0.7311
0.0975 0.1266 0.2689
0.9417 0.6903 0.3998
0.0583 0.3097 0.6002
0.5583 0.1903 0.6002
0.4417 0.8097 0.3998
0.5356 0.6963 0.1014
0.4644 0.3037 0.8986
0.9644 0.1963 0.8986
0.0356 0.8037 0.1014
```

Its density of states at the Fermi level is 0.3325 states/eV/atom. The value obtained for the calculated density is 3.5 g/cm³. The total magnetization comes out at 0.00 μB per atom. The calculation puts the excess energy over the best structure of this formula in the dataset at 0 kJ/mol of formula units.

---

Compound: NaInCu
Source: Alexandria via LeMat-Bulk
Functional: PBE
Structure: optimized geometry

```
NaInCu
1.0
-3.0225 0.1515 1.4612
-0.0617 -3.3528 0.2201
4.0500 1.8931 4.3168
Na Cu In
1 1 1
Direct
0.9893 0.9893 0.9786
0.3139 0.3139 0.6278
0.6968 0.6968 0.3937
```

Its density of states at the Fermi level is 0.2559 states/eV/atom. The value obtained for the calculated density is 5.2 g/cm³. The total magnetization comes out at 0.00 μB per atom. Its total energy is -2.644 eV per atom.

---

Please write out number 6 again, unchanged.
Compound: Ti4MnPb
Source: Alexandria via LeMat-Bulk
Functional: PBE
Structure: optimized geometry

```
Ti4MnPb
1.0
3.0013 0.0000 0.0000
0.0001 6.5766 0.0080
0.0000 0.0191 6.5766
Ti Mn Pb
4 1 1
Direct
0.5000 0.2345 0.7656
0.0000 0.8024 0.8024
0.0000 0.1976 0.1976
0.5000 0.7655 0.2344
0.5000 0.0000 0.0000
0.0000 0.5000 0.5000
```

Its density of states at the Fermi level is 1.2073 states/eV/atom. The value obtained for the calculated density is 5.8 g/cm³. The total magnetization comes out at 0.11 μB per atom. Its total energy is -6.909 eV per atom.

---

- The highest calculated density belongs to which entry?
  Nb2CuPt5Rh

---

Please write out number 4 again, unchanged.
Compound: Nb2CuPt5Rh
Source: Alexandria via LeMat-Bulk
Functional: PBE
Structure: optimized geometry

```
Nb2CuPt5Rh
1.0
-4.8645 -0.7520 5.9700
-5.8773 -1.0519 -4.9214
6.2536 -4.3188 -0.4626
Nb Cu Pt Rh
4 2 10 2
Direct
0.1122 0.3878 0.0000
0.6122 0.1122 0.0000
0.3878 0.8878 0.0000
0.8878 0.6122 0.0000
0.2500 0.2500 0.5000
0.7500 0.7500 0.5000
0.9308 0.4308 0.2641
0.6667 0.1667 0.7359
0.0692 0.5692 0.7359
0.1667 0.0692 0.7359
0.5692 0.6667 0.7359
0.8333 0.9308 0.2641
0.4308 0.3333 0.2641
0.3333 0.8333 0.2641
0.5000 0.5000 0.0000
0.0000 0.0000 0.0000
0.2500 0.7500 0.5000
0.7500 0.2500 0.5000
```

Its density of states at the Fermi level is 0.8160 states/eV/atom. The value obtained for the calculated density is 13.9 g/cm³. The total magnetization comes out at 0.00 μB per atom. Its total energy is -6.707 eV per atom.